Record 1
Entry from Alexandria via LeMat-Bulk: a relaxed structure of Sr5DyTe6 (PBE).

Cell: 8.0816 8.0816 8.0836 Å, 99.62 99.62 119.97°
Atoms (fractional coordinates):
Sr (0.0000, 0.0000, 0.0000)
Sr (0.1657, 0.8343, 0.5000)
Sr (0.3294, 0.6706, 0.0000)
Sr (0.6706, 0.3294, 0.0000)
Sr (0.8343, 0.1657, 0.5000)
Dy (0.5000, 0.5000, 0.5000)
Te (0.1009, 0.4201, 0.2594)
Te (0.2630, 0.2630, 0.7427)
Te (0.4201, 0.1009, 0.2594)
Te (0.5799, 0.8991, 0.7406)
Te (0.7370, 0.7370, 0.2573)
Te (0.8991, 0.5799, 0.7406)

Total magnetization ... 0.00 μB per formula unit
Raw total energy ... -4.299 eV per atom
Crystal system ... monoclinic
Formation energy without anion corrections ... -1.644 eV per atom


Record 2
Entry from Alexandria via LeMat-Bulk: a relaxed structure of BaMnCo2 (PBE).

Cell: 3.3191 3.3191 7.0818 Å, 90.00 90.00 90.00°
Atoms (fractional coordinates):
Ba (0.0000, 0.0000, 0.0000)
Mn (0.0000, 0.0000, 0.5000)
Co (0.5000, 0.5000, 0.3450)
Co (0.5000, 0.5000, 0.6550)

Formation energy from the elements ... 0.545 eV per atom
Total magnetization ... 6.74 μB per formula unit
Raw total energy ... -5.781 eV per atom
Crystal system ... tetragonal
E above lowest polymorph ... 237 meV/atom